Record 1
The following is a DFT calculation (GGA-PBE) of a geometry-optimized Li2Sn2Pd structure.

Cell lengths 6.6650, 6.6650, 4.0663 Å; angles 90.00, 90.00, 90.00 degrees
Last column: nearest neighbours and their distance in Å.
Fractional positions:
Sn: 0.3281 0.1719 0.5000  6 Li 2.71-2.90
Li: 0.3627 0.8627 0.0000  2 Pd 2.58, 1 Li 2.59, 2 Sn 2.71
Li: 0.1373 0.3627 0.0000  2 Pd 2.58, 1 Li 2.59, 2 Sn 2.71
Sn: 0.1719 0.6719 0.5000  6 Li 2.71-2.90
Sn: 0.8281 0.3281 0.5000  6 Li 2.71-2.90
Li: 0.8627 0.6373 0.0000  2 Pd 2.58, 1 Li 2.59, 2 Sn 2.71
Sn: 0.6719 0.8281 0.5000  6 Li 2.71-2.90
Li: 0.6373 0.1373 0.0000  2 Pd 2.58, 1 Li 2.59, 2 Sn 2.71
Pd: 0.5000 0.5000 0.0000  4 Li 2.58
Pd: 0.0000 0.0000 0.0000  4 Li 2.58

Computed properties:
D(E_F): 1.51 states/eV/f.u.
energy of formation from the pure elements: -1.34 eV per formula unit
total energy: -3.674 eV per atom

---

Record 2
The following is a DFT calculation (GGA-PBE) of a geometry-optimized K2Bi2Pd structure.

Cell lengths 4.9564, 4.9564, 16.3362 Å; angles 98.73, 98.73, 90.00 degrees
Last column: nearest neighbours and their distance in Å.
Fractional positions:
Bi: 0.0342 0.5342 0.0683  2 Pd 2.71
Pd: 0.2500 0.7500 0.5000  4 Bi 2.71
Pd: 0.5000 0.5000 0.0000  4 Bi 2.71
Bi: 0.7158 0.7158 0.4317  2 Pd 2.71
K: 0.8275 0.8275 0.6549  2 Pd 3.50, 5 Bi 3.56-3.77, 2 K 3.92
Bi: 0.4658 0.9658 0.9317  2 Pd 2.71
K: 0.5775 0.0775 0.1549  2 Pd 3.50, 5 Bi 3.56-3.77, 2 K 3.92
K: 0.1725 0.1725 0.3451  2 Pd 3.50, 5 Bi 3.56-3.77, 2 K 3.92
Bi: 0.2842 0.2842 0.5683  2 Pd 2.71
K: 0.9225 0.4225 0.8451  2 Pd 3.50, 5 Bi 3.56-3.77, 2 K 3.92

Computed properties:
D(E_F): 3.99 states/eV/f.u.
energy of formation from the pure elements: -0.87 eV per formula unit
total energy: -3.205 eV per atom

---

Record 3
The following is a DFT calculation (GGA-PBE) of a geometry-optimized AlGaPCl structure.

Cell lengths 3.8498, 4.2655, 5.7455 Å; angles 111.77, 95.59, 90.02 degrees
Last column: nearest neighbours and their distance in Å.
Fractional positions:
P: 0.2335 0.0794 0.8844  2 Al 2.37-2.44, 2 Ga 2.54
Ga: 0.1150 0.4535 0.6328  2 P 2.54, 1 Al 2.72
Cl: 0.6203 0.7872 0.3000  2 Al 2.37
Al: 0.7836 0.2157 0.1566  2 Cl 2.37, 2 P 2.37-2.44

Computed properties:
D(E_F): 0.42 states/eV/f.u.
distance to the lowest polymorph of the same formula: 175.1 meV per atom
total energy: -3.905 eV per atom

---

Record 4
The following is a DFT calculation (GGA-PBE) of a geometry-optimized TaH3Au structure.

Cell lengths 3.5968, 3.5968, 3.5968 Å; angles 90.00, 90.00, 90.00 degrees
Last column: nearest neighbours and their distance in Å.
Fractional positions:
H: 0.5000 0.0000 0.0000  2 Au 1.80
Ta: 0.5000 0.5000 0.5000  12 H 2.54
H: 0.0000 0.5000 0.0000  2 Au 1.80
Au: 0.0000 0.0000 0.0000  6 H 1.80
H: 0.0000 0.0000 0.5000  2 Au 1.80

Computed properties:
D(E_F): 1.35 states/eV/f.u.
distance to the lowest polymorph of the same formula: 418.1 meV per atom
total energy: -4.307 eV per atom

---

Record 5
The following is a DFT calculation (GGA-PBE) of a geometry-optimized Rb2Ag2I structure.

Cell lengths 9.2659, 9.2659, 4.6327 Å; angles 90.00, 90.00, 90.00 degrees
Last column: nearest neighbours and their distance in Å.
Fractional positions:
Rb: 0.6911 0.8089 0.5000  6 Ag 3.55-3.67
Rb: 0.8089 0.3089 0.5000  6 Ag 3.55-3.67
Ag: 0.1035 0.3965 0.0000  1 Ag 2.71
Ag: 0.6035 0.1035 0.0000  1 Ag 2.71
Ag: 0.3965 0.8965 0.0000  1 Ag 2.71
Ag: 0.8965 0.6035 0.0000  1 Ag 2.71
Rb: 0.1911 0.6911 0.5000  6 Ag 3.55-3.67
Rb: 0.3089 0.1911 0.5000  6 Ag 3.55-3.67
I: 0.0000 0.0000 0.0000  4 Ag 3.80, 8 Rb 4.09
I: 0.5000 0.5000 0.0000  4 Ag 3.80, 8 Rb 4.09

Computed properties:
D(E_F): 2.43 states/eV/f.u.
distance to the lowest polymorph of the same formula: 0.0 meV per atom
total energy: -2.087 eV per atom

---

Record 6
The following is a DFT calculation (GGA-PBE) of a geometry-optimized LiMg2Cd structure.

Cell lengths 6.7038, 6.7038, 6.7038 Å; angles 153.77, 53.40, 134.36 degrees
Last column: nearest neighbours and their distance in Å.
Fractional positions:
Li: 0.0000 0.0000 0.0000  4 Cd 3.01, 2 Li 3.04, 2 Mg 3.05
Cd: 0.5000 0.0000 0.5000  2 Mg 2.94, 4 Li 3.01, 2 Cd 3.04
Mg: 0.7453 0.0000 0.7453  1 Cd 2.94, 6 Mg 3.01-3.04, 1 Li 3.05
Mg: 0.2547 0.0000 0.2547  1 Cd 2.94, 6 Mg 3.01-3.04, 1 Li 3.05

Computed properties:
D(E_F): 1.29 states/eV/f.u.
energy of formation from the pure elements: 0.33 eV per formula unit
total energy: -1.422 eV per atom